This record from Alexandria via LeMat-Bulk describes an optimized crystal structure of LaTb8Nd2. The functional is PBE.

Values from the calculation:
**Polymorph energy (0 for the lowest one)**: 35.9 meV/atom
**N(E_F)**: 1.557 states/eV/atom
**Formation enthalpy at 0 K**: 161 kJ/mol of formula units
**Crystal system**: monoclinic

a b c (Å): 5.967 9.100 9.310
angles (deg): 60.75 74.70 57.32
Fractional coordinates of all 11 atoms:
Tb: 0.294 0.428 0.000
Tb: 0.175 0.901 0.767
Nd: 0.000 0.306 0.388
Tb: 0.706 0.572 0.000
La: 0.500 0.000 0.000
Tb: 0.500 0.209 0.582
Tb: 0.825 0.332 0.767
Nd: 0.000 0.694 0.612
Tb: 0.825 0.099 0.233
Tb: 0.500 0.791 0.418
Tb: 0.175 0.668 0.233



This record from Alexandria via LeMat-Bulk describes an optimized crystal structure of CaNd2Lu. The functional is PBE.

Values from the calculation:
**Polymorph energy (0 for the lowest one)**: 68.5 meV/atom
**N(E_F)**: 1.142 states/eV/atom
**Formation enthalpy at 0 K**: 53 kJ/mol of formula units
**Crystal system**: trigonal

a b c (Å): 3.584 3.584 12.961
angles (deg): 82.05 82.05 60.00
Fractional coordinates of all 4 atoms:
Nd: 0.908 0.908 0.277
Lu: 0.500 0.500 0.500
Nd: 0.092 0.092 0.723
Ca: 0.000 0.000 0.000



This record from Alexandria via LeMat-Bulk describes an optimized crystal structure of PSe. The functional is PBE.

Values from the calculation:
**Polymorph energy (0 for the lowest one)**: 288.7 meV/atom
**N(E_F)**: 0.554 states/eV/atom
**Crystal system**: trigonal

a b c (Å): 7.045 7.045 7.045
angles (deg): 29.51 29.51 29.51
Fractional coordinates of all 4 atoms:
Se: 0.893 0.893 0.893
P: 0.365 0.365 0.365
P: 0.635 0.635 0.635
Se: 0.107 0.107 0.107



This record from Alexandria via LeMat-Bulk describes an optimized crystal structure of ThAl2Au4. The functional is PBE.

Values from the calculation:
**N(E_F)**: 0.451 states/eV/atom
**Formation enthalpy at 0 K**: -381 kJ/mol of formula units
**Crystal system**: orthorhombic

a b c (Å): 4.529 6.818 17.924
angles (deg): 90.00 90.00 90.00
Fractional coordinates of all 28 atoms:
Th: 0.250 0.004 0.366
Au: 0.250 0.279 0.694
Au: 0.250 0.806 0.181
Al: 0.750 0.242 0.963
Al: 0.250 0.742 0.537
Th: 0.750 0.996 0.634
Au: 0.250 0.498 0.422
Al: 0.250 0.758 0.037
Au: 0.750 0.306 0.319
Au: 0.250 0.309 0.035
Au: 0.750 0.779 0.806
Al: 0.750 0.258 0.463
Au: 0.750 0.194 0.819
Al: 0.750 0.480 0.722
Au: 0.250 0.694 0.681
Au: 0.250 0.221 0.194
Al: 0.250 0.980 0.778
Au: 0.250 0.191 0.535
Au: 0.750 0.691 0.965
Th: 0.250 0.496 0.866
Al: 0.750 0.020 0.222
Au: 0.750 0.502 0.578
Au: 0.750 0.998 0.078
Al: 0.250 0.520 0.278
Au: 0.750 0.809 0.465
Th: 0.750 0.504 0.134
Au: 0.250 0.002 0.922
Au: 0.750 0.721 0.306



This record from Alexandria via LeMat-Bulk describes an optimized crystal structure of CeZn2SiAu4. The functional is PBE.

Values from the calculation:
**E**: -29.29 eV/cell
**N(E_F)**: 0.900 states/eV/atom
**Crystal system**: trigonal

a b c (Å): 4.432 4.432 9.408
angles (deg): 76.38 76.38 60.00
Site moments in Bohr magnetons follow the coordinates.
Fractional coordinates of all 8 atoms:
Zn: 0.751 0.751 0.747  0.00
Au: 0.132 0.132 0.605  0.00
Au: 0.398 0.398 0.805  0.00
Au: 0.602 0.602 0.195  0.00
Si: 0.500 0.500 0.500  0.00
Zn: 0.249 0.249 0.253  0.00
Au: 0.868 0.868 0.395  0.00
Ce: 0.000 0.000 0.000  0.67



This record from Alexandria via LeMat-Bulk describes an optimized crystal structure of NdTm2Sc6. The functional is PBE.

Values from the calculation:
**N(E_F)**: 1.809 states/eV/atom
**Formation enthalpy at 0 K**: 743 kJ/mol of formula units
**Crystal system**: tetragonal

a b c (Å): 7.788 7.788 9.671
angles (deg): 90.00 90.00 90.00
Fractional coordinates of all 18 atoms:
Tm: 0.000 0.000 0.167
Sc: 0.740 0.740 0.836
Sc: 0.763 0.237 0.000
Sc: 0.737 0.737 0.500
Sc: 0.240 0.760 0.336
Nd: 0.000 0.000 0.500
Sc: 0.760 0.240 0.664
Sc: 0.263 0.263 0.500
Tm: 0.500 0.500 0.333
Sc: 0.260 0.260 0.164
Tm: 0.500 0.500 0.667
Sc: 0.240 0.760 0.664
Sc: 0.740 0.740 0.164
Sc: 0.260 0.260 0.836
Sc: 0.237 0.763 0.000
Nd: 0.500 0.500 0.000
Tm: 0.000 0.000 0.833
Sc: 0.760 0.240 0.336



This record from Alexandria via LeMat-Bulk describes an optimized crystal structure of Al2Ag2Au. The functional is PBE.

Values from the calculation:
**Polymorph energy (0 for the lowest one)**: 94.7 meV/atom
**N(E_F)**: 0.227 states/eV/atom
**Formation enthalpy at 0 K**: 11 kJ/mol of formula units
**Crystal system**: tetragonal

a b c (Å): 7.919 7.919 2.820
angles (deg): 90.00 90.00 90.00
Fractional coordinates of all 10 atoms:
Au: 0.500 0.500 0.000
Ag: 0.626 0.126 0.000
Al: 0.675 0.825 0.500
Al: 0.825 0.325 0.500
Ag: 0.874 0.626 0.000
Ag: 0.374 0.874 0.000
Al: 0.325 0.175 0.500
Ag: 0.126 0.374 0.000
Al: 0.175 0.675 0.500
Au: 0.000 0.000 0.000



This record from Alexandria via LeMat-Bulk describes an optimized crystal structure of CsHoMnBr6. The functional is PBE.

Values from the calculation:
**E**: -38.32 eV/cell
**N(E_F)**: 0.000 states/eV/atom
**Crystal system**: monoclinic

a b c (Å): 7.181 7.182 8.167
angles (deg): 90.04 89.97 59.96
Site moments in Bohr magnetons follow the coordinates.
Fractional coordinates of all 9 atoms:
Br: 0.382 0.627 0.305  0.03
Br: 0.627 0.382 0.695  0.03
Br: 0.990 0.627 0.695  0.03
Mn: 0.666 0.667 0.500  4.41
Br: 0.627 0.990 0.305  0.03
Br: 0.991 0.382 0.305  0.03
Br: 0.382 0.991 0.695  0.03
Cs: 0.000 0.000 0.000  0.00
Ho: 0.333 0.333 0.500  0.01



This record from Alexandria via LeMat-Bulk describes an optimized crystal structure of Sm3ICl2O6. The functional is PBE.

Values from the calculation:
**E**: -73.11 eV/cell
**N(E_F)**: 0.000 states/eV/atom
**Crystal system**: monoclinic

a b c (Å): 5.570 6.862 6.928
angles (deg): 119.68 81.47 90.00
Fractional coordinates of all 12 atoms:
O: 0.331 0.168 0.336
Cl: 0.852 0.295 0.590
O: 0.295 0.185 0.875
O: 0.295 0.690 0.875
O: 0.705 0.310 0.125
Sm: 0.000 0.500 0.000
O: 0.669 0.832 0.664
Sm: 0.500 0.500 0.500
O: 0.705 0.815 0.125
Cl: 0.148 0.705 0.410
I: 0.500 0.000 0.000
Sm: 0.500 0.000 0.500



This record from Alexandria via LeMat-Bulk describes an optimized crystal structure of LiZn4In. The functional is PBE.

Values from the calculation:
**N(E_F)**: 0.123 states/eV/atom
**Formation enthalpy at 0 K**: -35 kJ/mol of formula units
**Crystal system**: cubic

a b c (Å): 5.253 5.253 5.253
angles (deg): 60.00 60.00 60.00
Fractional coordinates of all 6 atoms:
Zn: 0.122 0.626 0.626
Li: 0.000 0.000 0.000
Zn: 0.626 0.626 0.122
Zn: 0.626 0.122 0.626
In: 0.250 0.250 0.250
Zn: 0.626 0.626 0.626



This record from Alexandria via LeMat-Bulk describes an optimized crystal structure of Sc8C4O. The functional is PBE.

Values from the calculation:
**E**: -104.07 eV/cell
**N(E_F)**: 0.706 states/eV/atom
**Crystal system**: trigonal

a b c (Å): 6.633 6.633 6.615
angles (deg): 59.91 59.91 60.00
Fractional coordinates of all 13 atoms:
Sc: 0.258 0.258 0.226
C: 0.000 0.000 0.000
Sc: 0.753 0.263 0.232
Sc: 0.247 0.247 0.768
C: 0.500 0.000 0.000
Sc: 0.737 0.247 0.768
Sc: 0.263 0.753 0.232
Sc: 0.247 0.737 0.768
C: 0.000 0.500 0.000
Sc: 0.742 0.742 0.774
Sc: 0.753 0.753 0.232
O: 0.500 0.500 0.500
C: 0.500 0.500 0.000



This record from Alexandria via LeMat-Bulk describes an optimized crystal structure of TbNdHoZr. The functional is PBE.

Values from the calculation:
**N(E_F)**: 1.988 states/eV/atom
**Formation enthalpy at 0 K**: 89 kJ/mol of formula units
**Crystal system**: cubic

a b c (Å): 5.531 5.531 5.531
angles (deg): 60.00 60.00 60.00
Site moments in Bohr magnetons follow the coordinates.
Fractional coordinates of all 4 atoms:
Zr: 0.250 0.250 0.250  0.67
Nd: 0.750 0.750 0.750  -0.01
Tb: 0.000 0.000 0.000  0.20
Ho: 0.500 0.500 0.500  0.20



This record from Alexandria via LeMat-Bulk describes an optimized crystal structure of YAl2Pt8. The functional is PBE.

Values from the calculation:
**N(E_F)**: 0.621 states/eV/atom
**Formation enthalpy at 0 K**: -461 kJ/mol of formula units
**Crystal system**: tetragonal

a b c (Å): 5.371 5.371 7.812
angles (deg): 90.00 90.00 90.00
Fractional coordinates of all 11 atoms:
Pt: 0.754 0.246 0.779
Al: 0.000 0.500 0.000
Pt: 0.754 0.754 0.779
Pt: 0.246 0.246 0.779
Pt: 0.754 0.754 0.221
Pt: 0.754 0.246 0.221
Al: 0.500 0.000 0.000
Pt: 0.246 0.754 0.221
Pt: 0.246 0.246 0.221
Pt: 0.246 0.754 0.779
Y: 0.500 0.500 0.500



This record from Alexandria via LeMat-Bulk describes an optimized crystal structure of LiBeCo. The functional is PBE.

Values from the calculation:
**Polymorph energy (0 for the lowest one)**: 0.0 meV/atom
**N(E_F)**: 0.772 states/eV/atom
**Formation enthalpy at 0 K**: 25 kJ/mol of formula units
**Crystal system**: tetragonal

a b c (Å): 4.930 4.930 4.930
angles (deg): 148.65 148.68 44.90
Site moments in Bohr magnetons follow the coordinates.
Fractional coordinates of all 3 atoms:
Be: 0.973 0.973 0.000  -0.02
Co: 0.361 0.361 0.000  0.49
Li: 0.666 0.666 0.000  0.00



This record from Alexandria via LeMat-Bulk describes an optimized crystal structure of LaCu3Ge3. The functional is PBE.

Values from the calculation:
**Polymorph energy (0 for the lowest one)**: 0.0 meV/atom
**N(E_F)**: 0.307 states/eV/atom
**Formation enthalpy at 0 K**: -110 kJ/mol of formula units
**Crystal system**: trigonal

a b c (Å): 6.183 6.183 8.663
angles (deg): 69.09 69.09 60.00
Fractional coordinates of all 14 atoms:
Cu: 0.414 0.234 0.420
La: 0.313 0.313 0.060
Cu: 0.069 0.586 0.580
Ge: 0.847 0.198 0.252
Cu: 0.234 0.931 0.420
Cu: 0.931 0.414 0.420
La: 0.687 0.687 0.940
Ge: 0.802 0.297 0.748
Ge: 0.297 0.153 0.748
Ge: 0.198 0.703 0.252
Cu: 0.586 0.766 0.580
Ge: 0.703 0.847 0.252
Ge: 0.153 0.802 0.748
Cu: 0.766 0.069 0.580



This record from Alexandria via LeMat-Bulk describes an optimized crystal structure of Ag4F3. The functional is PBE.

Values from the calculation:
**E**: -22.69 eV/cell
**N(E_F)**: 0.217 states/eV/atom
**Crystal system**: orthorhombic

a b c (Å): 3.373 3.169 10.884
angles (deg): 98.37 108.07 90.00
Fractional coordinates of all 7 atoms:
Ag: 0.315 0.443 0.886
Ag: 0.977 0.274 0.548
Ag: 0.154 0.112 0.225
F: 0.378 0.725 0.450
Ag: 0.645 0.858 0.716
F: 0.628 0.600 0.200
F: 0.904 0.988 0.975



This record from Alexandria via LeMat-Bulk describes an optimized crystal structure of NbFeI2. The functional is PBE.

Values from the calculation:
**Polymorph energy (0 for the lowest one)**: 0.0 meV/atom
**N(E_F)**: 1.335 states/eV/atom
**Crystal system**: tetragonal

a b c (Å): 6.313 6.313 7.270
angles (deg): 64.27 64.27 90.00
Site moments in Bohr magnetons follow the coordinates.
Fractional coordinates of all 8 atoms:
I: 0.595 0.125 0.250  0.00
Nb: 0.750 0.250 0.500  1.17
I: 0.155 0.625 0.250  0.00
Fe: 0.500 0.500 0.000  2.29
I: 0.875 0.845 0.750  0.00
Nb: 0.000 0.000 0.000  1.17
Fe: 0.250 0.750 0.500  2.29
I: 0.375 0.405 0.750  0.00



This record from Alexandria via LeMat-Bulk describes an optimized crystal structure of VZnPdAu. The functional is PBE.

Values from the calculation:
**N(E_F)**: 1.554 states/eV/atom
**Formation enthalpy at 0 K**: -48 kJ/mol of formula units
**Crystal system**: cubic

a b c (Å): 4.447 4.447 4.447
angles (deg): 60.00 60.00 60.00
Site moments in Bohr magnetons follow the coordinates.
Fractional coordinates of all 4 atoms:
V: 0.500 0.500 0.500  1.74
Au: 0.750 0.750 0.750  0.05
Pd: 0.250 0.250 0.250  0.03
Zn: 0.000 0.000 0.000  -0.02



This record from Alexandria via LeMat-Bulk describes an optimized crystal structure of Rb2NaF. The functional is PBE.

Values from the calculation:
**Polymorph energy (0 for the lowest one)**: 2.6 meV/atom
**N(E_F)**: 0.485 states/eV/atom
**Crystal system**: tetragonal

a b c (Å): 8.513 8.513 8.215
angles (deg): 58.79 58.79 90.00
Fractional coordinates of all 8 atoms:
Rb: 0.875 0.722 0.750
F: 0.250 0.750 0.500
Rb: 0.472 0.125 0.250
F: 0.500 0.500 0.000
Rb: 0.278 0.625 0.250
Na: 0.750 0.250 0.500
Na: 0.000 0.000 0.000
Rb: 0.375 0.528 0.750



This record from Alexandria via LeMat-Bulk describes an optimized crystal structure of Cr2Cd2Te. The functional is PBE.

Values from the calculation:
**Polymorph energy (0 for the lowest one)**: 0.0 meV/atom
**N(E_F)**: 0.613 states/eV/atom
**Crystal system**: tetragonal

a b c (Å): 6.435 6.435 4.624
angles (deg): 90.00 90.00 90.00
Site moments in Bohr magnetons follow the coordinates.
Fractional coordinates of all 10 atoms:
Te: 0.500 0.500 0.000  -0.03
Cd: 0.166 0.666 0.500  -0.01
Cr: 0.612 0.112 0.000  0.53
Cd: 0.834 0.334 0.500  -0.01
Cr: 0.888 0.612 0.000  0.53
Cr: 0.388 0.888 0.000  0.53
Cd: 0.666 0.834 0.500  -0.01
Cr: 0.112 0.388 0.000  0.53
Te: 0.000 0.000 0.000  -0.03
Cd: 0.334 0.166 0.500  -0.01



This record from Alexandria via LeMat-Bulk describes an optimized crystal structure of Al2GeAsSe. The functional is PBE.

Values from the calculation:
**E**: -17.69 eV/cell
**N(E_F)**: 0.439 states/eV/atom
**Crystal system**: tetragonal

a b c (Å): 4.936 4.936 5.067
angles (deg): 90.00 90.00 90.00
Fractional coordinates of all 5 atoms:
Al: 0.500 0.000 0.000
As: 0.000 0.000 0.000
Se: 0.500 0.500 0.500
Al: 0.000 0.500 0.000
Ge: 0.000 0.000 0.500



This record from Alexandria via LeMat-Bulk describes an optimized crystal structure of AcTb2Cu. The functional is PBE.

Values from the calculation:
**Polymorph energy (0 for the lowest one)**: 104.8 meV/atom
**N(E_F)**: 1.274 states/eV/atom
**Formation enthalpy at 0 K**: 19 kJ/mol of formula units
**Crystal system**: trigonal

a b c (Å): 3.922 3.922 9.769
angles (deg): 78.42 78.42 60.00
Fractional coordinates of all 4 atoms:
Cu: 0.666 0.666 0.003
Tb: 0.060 0.060 0.821
Ac: 0.502 0.502 0.495
Tb: 0.273 0.273 0.180



This record from Alexandria via LeMat-Bulk describes an optimized crystal structure of PrYTe3. The functional is PBE.

Values from the calculation:
**Polymorph energy (0 for the lowest one)**: 17.7 meV/atom
**N(E_F)**: 0.026 states/eV/atom
**Crystal system**: orthorhombic

a b c (Å): 4.339 7.477 10.864
angles (deg): 90.00 90.00 106.87
Fractional coordinates of all 10 atoms:
Te: 0.353 0.707 0.562
Pr: 0.249 0.498 0.250
Te: 0.353 0.707 0.938
Pr: 0.751 0.502 0.750
Te: 0.647 0.293 0.438
Te: 0.647 0.293 0.062
Y: 0.000 0.000 0.500
Te: 0.911 0.821 0.250
Y: 0.000 0.000 0.000
Te: 0.089 0.179 0.750